Record 1
The following is a GGA-PBE calculation of a relaxed structure of LaSe2O2, from Alexandria via LeMat-Bulk.

extended XYZ file:
```
10
Lattice="7.242 0.000 0.000 0.000 7.242 0.000 0.000 0.000 3.619" Properties=species:S:1:pos:R:3 pbc="T T T"
O 1.798 5.419 1.809
O 1.823 1.798 1.809
Se 4.445 0.824 0.000
Se 0.824 2.797 0.000
Se 6.418 4.445 0.000
O 5.444 1.823 1.809
O 5.419 5.444 1.809
Se 2.797 6.418 0.000
La 0.000 0.000 0.000
La 3.621 3.621 0.000
```

Summary:
E above lowest polymorph: 0.0000 eV per atom
Electronic total energy: -4.993 eV per atom
E_form (uncorrected): -0.630 eV per atom

Record 2
The following is a GGA-PBE calculation of a relaxed structure of La4SeO5, from Alexandria via LeMat-Bulk.

extended XYZ file:
```
10
Lattice="3.938 0.000 0.000 0.000 7.058 -1.324 -1.969 -2.247 7.390" Properties=species:S:1:pos:R:3 pbc="T T T"
O 0.000 1.994 1.981
La 0.000 2.030 -0.378
O 0.000 5.897 1.240
O 1.969 2.818 4.085
O 1.969 3.529 -0.662
La 0.000 4.243 3.083
O 1.969 -1.086 4.826
La 1.969 0.568 2.983
La 1.969 2.781 6.443
Se 1.969 0.000 0.000
```

Summary:
Electronic total energy: -7.793 eV per atom
E_form (uncorrected): -2.994 eV per atom